TaNbSe2: optimized geometry, PBE.

a = 6.463 Å, b = 6.463 Å, c = 6.463 Å
α = 90.00°, β = 90.00°, γ = 90.00°
Space group Fm-3m (No. 225)
Asymmetric unit:
Ta: 0.000 0.000 0.000
Nb: 0.000 0.000 0.500
Se: 0.250 0.250 0.250

Properties
Fermi-level density of states, states/eV per atom: 1.34
Crystal system: cubic
Energy above the lowest structure with this stoichiometry, meV per atom: 0
Mass density, Mg/m³: 10.622
Energy relative to the elements, uncorrected, eV per formula unit: -0.99

=====

Ac3TmIr8: optimized geometry, PBE.

a = 5.5155 Å, b = 5.5155 Å, c = 27.0048 Å
α = 90.00°, β = 90.00°, γ = 120.00°
Space group R3m (No. 160, hexagonal axes)
Asymmetric unit:
Ac: 0.0000 0.0000 0.0000
Ac: 0.0000 0.0000 0.1256
Ac: 0.0000 0.0000 0.5022
Tm: 0.0000 0.0000 0.6268
Ir: 0.0000 0.0000 0.3129
Ir: 0.0000 0.0000 0.8132
Ir: 0.0013 0.5006 0.5655
Ir: 0.1679 0.3358 0.3943

Properties
Fermi-level density of states, states/eV per atom: 0.76
Crystal system: trigonal
Formation enthalpy at 0 K, meV per atom: -598
Mass density, Mg/m³: 16.718

=====

HgGeO: optimized geometry, PBE.

a = 23.037 Å, b = 3.209 Å, c = 3.701 Å
α = 90.00°, β = 92.41°, γ = 90.00°
Space group C2/m (No. 12)
Asymmetric unit:
Hg: 0.065 0.000 0.274
Ge: 0.195 0.500 0.887
O: 0.220 0.000 0.187

Properties
Fermi-level density of states, states/eV per atom: 0.01
Crystal system: monoclinic
Mass density, Mg/m³: 7.027
Energy relative to the elements, uncorrected, eV per formula unit: -2.03

=====

CrCd3: optimized geometry, PBE.

a = 4.915 Å, b = 6.129 Å, c = 5.349 Å
α = 90.00°, β = 90.00°, γ = 90.00°
Space group Pmmn (No. 59, origin choice 2)
Asymmetric unit:
Cr: 0.250 0.250 0.167
Cd: 0.250 0.001 0.670
Cd: 0.250 0.750 0.158

Properties
Fermi-level density of states, states/eV per atom: 0.36
Crystal system: orthorhombic
Formation enthalpy at 0 K, meV per atom: 219
Mass density, Mg/m³: 8.023